# RbIn6Hg4 (PBE-GGA, relaxed)
data_RbIn6Hg4
_chemical_formula_sum 'Rb1 In6 Hg4'
_space_group_name_H-M_alt 'P 1'
_space_group_IT_number 1
_cell_length_a 8.873
_cell_length_b 8.873
_cell_length_c 4.678
_cell_angle_alpha 90.00
_cell_angle_beta 90.00
_cell_angle_gamma 120.00
loop_
_space_group_symop_operation_xyz
'x,y,z'
loop_
_atom_site_label
_atom_site_type_symbol
_atom_site_fract_x
_atom_site_fract_y
_atom_site_fract_z
Rb1 Rb 0.000 0.000 0.000
In1 In 0.201 0.402 0.500
In2 In 0.201 0.799 0.500
In3 In 0.535 0.069 0.000
In4 In 0.535 0.465 0.000
In5 In 0.598 0.799 0.500
In6 In 0.931 0.465 0.000
Hg1 Hg 0.333 0.667 0.000
Hg2 Hg 0.390 0.195 0.500
Hg3 Hg 0.805 0.195 0.500
Hg4 Hg 0.805 0.610 0.500
# - Uncorrected energy: -1.76 eV/atom